Entry 1:
First-principles (PBE) data for an optimized crystal structure of KRbZnS2, as listed in Alexandria via LeMat-Bulk.

Results
**Calculated volume**: 29.1 Å³/atom
**E**: -3.04 eV/atom
**Calculated density**: 2.90 Mg/m³
**Formation energy (no corrections)**: -0.7166 eV/atom
**M_tot**: 0.00 Bohr magnetons per cell
**SG**: Pmma, No. 51

```
KRbZnS2
1.0
-0.617 5.624 -3.631
-0.437 -3.050 -4.650
-7.715 -0.265 0.900
K Rb Zn S
2 2 2 4
Cartesian
-0.687 0.984 -5.600
-0.367 1.590 -2.681
-4.089 0.222 -1.434
-4.680 2.086 -5.948
0.000 0.000 0.000
-0.219 -1.525 -2.325
-6.676 3.638 -3.432
-2.269 3.790 -3.946
-6.500 -1.481 -3.436
-2.093 -1.329 -3.950
```

Entry 2:
First-principles (PBE) data for an optimized crystal structure of K2RbZr3S8, as listed in Alexandria via LeMat-Bulk.

Results
**Calculated volume**: 28.9 Å³/atom
**E**: -5.75 eV/atom
**Calculated density**: 2.85 Mg/m³
**Formation energy (no corrections)**: -1.3310 eV/atom
**M_tot**: 0.44 Bohr magnetons per cell
**SG**: R3m, No. 160

```
K2RbZr3S8
1.0
-3.626 -6.432 2.118
-2.324 -5.029 -5.322
4.970 -7.573 -0.558
K Rb Zr S
2 1 3 8
Cartesian
2.077 -6.012 -0.770
-0.486 -9.519 -1.881
-2.977 -13.066 -2.986
-4.130 -8.250 -4.264
-4.782 -8.952 -0.541
-2.967 -5.733 -1.601
-0.688 -4.520 -0.973
-0.238 -14.544 -2.785
2.651 -8.964 -1.227
0.983 -11.920 -0.253
1.582 -11.275 -3.673
-2.565 -7.761 -0.100
-1.970 -7.119 -3.501
-3.628 -10.060 -2.533
```

Entry 3:
First-principles (PBE) data for an optimized crystal structure of KRb2Zr3S8, as listed in Alexandria via LeMat-Bulk.

Results
**Calculated volume**: 29.3 Å³/atom
**E**: -5.73 eV/atom
**Calculated density**: 2.99 Mg/m³
**Formation energy (no corrections)**: -1.3264 eV/atom
**M_tot**: 0.64 Bohr magnetons per cell
**SG**: R3m, No. 160

```
KRb2Zr3S8
1.0
-5.014 -5.515 1.872
-0.411 -6.412 -4.217
3.722 -7.413 3.906
K Rb Zr S
1 2 3 8
Cartesian
-3.120 -13.360 -0.391
1.380 -5.957 1.921
-0.835 -9.680 0.795
-2.907 -9.176 -3.270
-5.207 -8.728 -0.228
-2.702 -5.972 -1.163
-0.806 -4.598 0.068
-0.902 -14.738 1.489
1.801 -8.962 2.682
-0.516 -11.510 3.546
1.611 -11.925 0.733
-3.278 -7.436 0.865
-1.144 -7.851 -1.957
-3.468 -10.407 -1.089
```

Entry 4:
First-principles (PBE) data for an optimized crystal structure of KRb2Sb, as listed in Alexandria via LeMat-Bulk.

Results
**Calculated volume**: 42.6 Å³/atom
**E**: -2.14 eV/atom
**Calculated density**: 3.24 Mg/m³
**Formation energy (no corrections)**: -0.3526 eV/atom
**M_tot**: 0.00 Bohr magnetons per cell
**SG**: I-4m2, No. 119

```
KRb2Sb
1.0
-1.833 5.880 0.784
-1.202 -2.902 -5.356
-2.810 -4.539 3.171
K Rb Sb
1 2 1
Cartesian
-1.834 -2.157 -0.188
-3.840 -5.878 -1.281
-3.152 0.373 2.336
-2.348 1.192 -1.928
```

Entry 5:
First-principles (PBE) data for an optimized crystal structure of KRbSb, as listed in Alexandria via LeMat-Bulk.

Results
**Polymorph energy (0 for the lowest one)**: 82 meV/atom
**Calculated volume**: 37.0 Å³/atom
**E**: -2.36 eV/atom
**Calculated density**: 3.69 Mg/m³
**Formation energy (no corrections)**: -0.2971 eV/atom
**M_tot**: 0.00 Bohr magnetons per cell
**SG**: P3m1, No. 156

```
KRbSb
1.0
-3.134 1.818 0.131
-0.060 -0.530 5.918
2.617 4.694 -2.536
Sb K Rb
1 1 1
Cartesian
-1.253 2.421 3.187
1.183 3.266 0.305
-0.508 0.295 0.021
```

Entry 6:
First-principles (PBE) data for an optimized crystal structure of KRb2Sb, as listed in Alexandria via LeMat-Bulk.

Results
**Calculated volume**: 60.3 Å³/atom
**E**: -2.06 eV/atom
**Calculated density**: 2.29 Mg/m³
**Formation energy (no corrections)**: -0.2677 eV/atom
**M_tot**: 0.00 Bohr magnetons per cell
**SG**: P2_1/c, No. 14

```
KRb2Sb
1.0
-8.104 2.034 0.670
-1.568 -2.852 -10.304
-1.451 -8.506 8.271
K Rb Sb
4 8 4
Cartesian
-5.091 -3.807 2.400
-9.298 -3.075 1.724
-6.032 -5.517 -3.763
-1.825 -6.249 -3.087
-6.475 -0.221 1.063
-3.873 -7.674 2.727
-4.647 -9.102 -2.426
-7.249 -1.650 -4.090
-7.743 -7.035 0.301
-3.228 -3.949 -6.893
-3.379 -2.289 -1.664
-7.894 -5.375 5.530
-6.666 -3.624 -0.800
-2.155 -4.654 4.464
-4.456 -5.700 -0.563
-8.968 -4.669 -5.827
```